SnP3O9 | the Alexandria database | SCAN | PBEsol geometry; energy above the lowest structure with this stoichiometry = 76.4 meV per atom; SG = No. 2; formation energy (no corrections) = -27.5 eV per formula unit; total magnetic moment = 0.0 Bohr magnetons per cell; volume = 13.42 Å³/atom
1.0
6.624 0.000 0.000
1.058 6.895 0.000
1.193 0.680 7.640
Sn P O
2 6 18
direct
0.010 0.210 0.152
0.990 0.790 0.848
0.171 0.154 0.555
0.182 0.694 0.213
0.347 0.372 0.787
0.653 0.628 0.213
0.818 0.306 0.787
0.829 0.846 0.445
0.066 0.746 0.403
0.117 0.514 0.165
0.142 0.872 0.081
0.206 0.966 0.667
0.212 0.145 0.360
0.278 0.229 0.935
0.287 0.588 0.794
0.296 0.315 0.603
0.408 0.666 0.257
0.592 0.334 0.743
0.704 0.685 0.397
0.713 0.412 0.206
0.722 0.771 0.065
0.788 0.855 0.640
0.794 0.034 0.333
0.858 0.128 0.919
0.883 0.486 0.835
0.934 0.254 0.597


SmGePd | the Alexandria database | SCAN | PBEsol geometry; SG = No. 62; total magnetic moment = 0.0 Bohr magnetons per cell; volume = 19.59 Å³/atom; ΔH_f (0 K) = -1.1049 eV per atom
1.0
21.183 0.000 0.000
0.000 4.406 0.000
0.000 0.000 7.555
Sm Ge Pd
12 12 12
direct
0.001 0.250 0.212
0.166 0.250 0.293
0.167 0.750 0.710
0.333 0.250 0.210
0.334 0.750 0.793
0.499 0.750 0.712
0.501 0.250 0.288
0.666 0.250 0.207
0.667 0.750 0.790
0.833 0.250 0.290
0.834 0.750 0.707
0.999 0.750 0.788
0.072 0.250 0.591
0.103 0.750 0.090
0.232 0.750 0.088
0.268 0.250 0.588
0.397 0.250 0.590
0.428 0.750 0.091
0.572 0.250 0.909
0.603 0.750 0.410
0.732 0.750 0.412
0.768 0.250 0.912
0.897 0.250 0.910
0.928 0.750 0.409
0.062 0.750 0.418
0.095 0.250 0.922
0.236 0.250 0.920
0.264 0.750 0.420
0.405 0.750 0.422
0.438 0.250 0.918
0.562 0.750 0.082
0.595 0.250 0.578
0.736 0.250 0.580
0.764 0.750 0.080
0.905 0.750 0.078
0.938 0.250 0.582


LiZrFe2 | the Alexandria database | SCAN | PBEsol geometry; SG = No. 166; total magnetic moment = 5.2 Bohr magnetons per cell; volume = 14.71 Å³/atom; ΔH_f (0 K) = 0.4611 eV per atom
1.0
1.354 0.782 9.260
-1.354 0.782 9.260
0.000 -1.564 9.260
Li Zr Fe
1 1 2
direct
0.000 0.000 0.000
0.500 0.500 0.500
0.253 0.253 0.253
0.747 0.747 0.747


Sr2ReBr | the Alexandria database | SCAN | PBEsol geometry; energy above the lowest structure with this stoichiometry = 319.0 meV per atom; SG = No. 119; formation energy (no corrections) = 2.0 eV per formula unit; total magnetic moment = 2.1 Bohr magnetons per cell; volume = 27.47 Å³/atom
1.0
-2.191 2.191 5.724
2.191 -2.191 5.724
2.191 2.191 -5.724
Sr Re Br
2 1 1
direct
0.000 0.000 0.000
0.750 0.250 0.500
0.250 0.750 0.500
0.500 0.500 0.000


CuWSe | the Alexandria database | SCAN | PBEsol geometry; energy above the lowest structure with this stoichiometry = 77.2 meV per atom; SG = No. 107; formation energy (no corrections) = 1.4 eV per formula unit; total magnetic moment = 0.0 Bohr magnetons per cell; volume = 14.32 Å³/atom
1.0
-1.557 1.557 4.431
1.557 -1.557 4.431
1.557 1.557 -4.431
Cu W Se
1 1 1
direct
0.000 0.000 0.000
0.323 0.323 0.000
0.667 0.667 0.000


PtCO2F | the Alexandria database | SCAN | PBEsol geometry; SG = No. 123; formation energy (no corrections) = 5.6 eV per formula unit; total magnetic moment = 0.1 Bohr magnetons per cell; volume = 12.19 Å³/atom
1.0
3.829 0.000 0.000
0.000 3.829 0.000
0.000 0.000 4.157
Pt C O F
1 1 2 1
direct
0.000 0.000 0.000
0.500 0.500 0.500
0.000 0.500 0.000
0.500 0.000 0.000
0.000 0.000 0.500